1.
NbCdSnO6 after structural relaxation, computed with PBE-GGA.

Lattice parameters (Å, degrees): 5.4750 5.4750 9.4155 90.00 90.00 120.00
With the nearest neighbours (Å) after each atom.
Element x y z (fractional)
Nb 0.3333 0.6667 0.2500  6 O 2.02
Nb 0.6667 0.3333 0.7500  6 O 2.02
Cd 0.0000 0.0000 0.0000  6 O 2.36
Cd 0.0000 0.0000 0.5000  6 O 2.36
Sn 0.3333 0.6667 0.7500  6 O 2.09
Sn 0.6667 0.3333 0.2500  6 O 2.09
O 0.0094 0.3667 0.1351  1 Nb 2.02, 1 Sn 2.09
O 0.0094 0.6427 0.3649  1 Nb 2.02, 1 Sn 2.09
O 0.3573 0.3667 0.3649  1 Nb 2.02, 1 Sn 2.09
O 0.3573 0.9906 0.1351  1 Nb 2.02, 1 Sn 2.09
O 0.3667 0.0094 0.6351  1 Nb 2.02, 1 Sn 2.09
O 0.3667 0.3573 0.8649  1 Nb 2.02, 1 Sn 2.09
O 0.6333 0.6427 0.1351  1 Nb 2.02, 1 Sn 2.09
O 0.6333 0.9906 0.3649  1 Nb 2.02, 1 Sn 2.09
O 0.6427 0.0094 0.8649  1 Nb 2.02, 1 Sn 2.09
O 0.6427 0.6333 0.6351  1 Nb 2.02, 1 Sn 2.09
O 0.9906 0.3573 0.6351  1 Nb 2.02, 1 Sn 2.09
O 0.9906 0.6333 0.8649  1 Nb 2.02, 1 Sn 2.09

**Spin magnetization**: 2.11 Bohr magnetons per cell
**Raw formation energy**: -1.59 eV/atom
**VASP energy**: -6.56 eV/atom

2.
Sr2NbCdO6 after structural relaxation, computed with PBE-GGA.

Lattice parameters (Å, degrees): 5.8338 5.9868 10.0977 90.00 125.09 90.00
With the nearest neighbours (Å) after each atom.
Element x y z (fractional)
Sr 0.2363 0.0483 0.2477  6 O 2.51-2.81
Sr 0.2363 0.4517 0.7477  6 O 2.51-2.81
Sr 0.7637 0.5483 0.2523  6 O 2.51-2.81
Sr 0.7637 0.9517 0.7523  6 O 2.51-2.81
Nb 0.5000 0.0000 0.0000  6 O 2.02
Nb 0.5000 0.5000 0.5000  6 O 2.02
Cd 0.0000 0.0000 0.5000  6 O 2.26-2.31
Cd 0.0000 0.5000 0.0000  6 O 2.26-2.31
O 0.1795 0.1903 0.9579  1 Nb 2.02
O 0.1795 0.3097 0.4579  1 Nb 2.02
O 0.2617 0.7250 0.9486  1 Nb 2.02
O 0.2617 0.7750 0.4486  1 Nb 2.02
O 0.3552 0.0325 0.7654  1 Nb 2.02
O 0.3552 0.4675 0.2654  1 Nb 2.02
O 0.6448 0.5325 0.7346  1 Nb 2.02
O 0.6448 0.9675 0.2346  1 Nb 2.02
O 0.7383 0.2250 0.5514  1 Nb 2.02
O 0.7383 0.2750 0.0514  1 Nb 2.02
O 0.8205 0.6903 0.5421  1 Nb 2.02
O 0.8205 0.8097 0.0421  1 Nb 2.02

**Spin magnetization**: 2.12 Bohr magnetons per cell
**Raw formation energy**: -2.29 eV/atom
**VASP energy**: -6.70 eV/atom

3.
Sr3Nb2CdO9 after structural relaxation, computed with PBE-GGA.

Lattice parameters (Å, degrees): 5.8329 5.8329 7.4426 90.00 90.00 120.00
With the nearest neighbours (Å) after each atom.
Element x y z (fractional)
Sr 0.0000 0.0000 0.0000  12 O 2.86-2.92
Sr 0.3333 0.6667 0.7075  9 O 2.75-2.92
Sr 0.6667 0.3333 0.2925  9 O 2.75-2.92
Nb 0.3333 0.6667 0.1755  6 O 1.91-2.13
Nb 0.6667 0.3333 0.8245  6 O 1.91-2.13
Cd 0.0000 0.0000 0.5000  6 O 2.24
O 0.0000 0.5000 0.0000  2 Nb 2.13
O 0.1703 0.3407 0.3067  1 Nb 1.91
O 0.1703 0.8297 0.3067  1 Nb 1.91
O 0.3407 0.1703 0.6933  1 Nb 1.91
O 0.5000 0.0000 0.0000  2 Nb 2.13
O 0.5000 0.5000 0.0000  2 Nb 2.13
O 0.6593 0.8297 0.3067  1 Nb 1.91
O 0.8297 0.1703 0.6933  1 Nb 1.91
O 0.8297 0.6593 0.6933  1 Nb 1.91

**Spin magnetization**: 0.00 Bohr magnetons per cell
**Raw formation energy**: -2.57 eV/atom
**VASP energy**: -7.29 eV/atom